! Gd2Hf2O7 | Alexandria | PBE-GGA | relaxed; values from VASP
&SYSTEM
  ibrav = 0, nat = 22, ntyp = 3
/
ATOMIC_SPECIES
Gd 157.25 Gd.upf
Hf 178.49 Hf.upf
O 16.00 O.upf
CELL_PARAMETERS angstrom
0.000 5.295 5.295
5.295 0.000 5.295
5.295 5.295 0.000
ATOMIC_POSITIONS crystal
Gd 0.000 0.000 0.000
Gd 0.000 0.000 0.500
Gd 0.000 0.500 0.000
Gd 0.500 0.000 0.000
Hf 0.000 0.500 0.500
Hf 0.500 0.000 0.500
Hf 0.500 0.500 0.000
Hf 0.500 0.500 0.500
O 0.125 0.125 0.125
O 0.165 0.165 0.585
O 0.165 0.585 0.165
O 0.165 0.585 0.585
O 0.415 0.415 0.835
O 0.415 0.835 0.415
O 0.415 0.835 0.835
O 0.585 0.165 0.165
O 0.585 0.165 0.585
O 0.585 0.585 0.165
O 0.835 0.415 0.415
O 0.835 0.415 0.835
O 0.835 0.835 0.415
O 0.875 0.875 0.875
! Energy = -0.4068 Ha/atom
! Crystal system = cubic
! Magnetic moment = 27.928 μB/cell
! Energy relative to the elements, uncorrected = -3.55 eV/atom